# PBE-GGA Sm4Al3Cu, relaxed
data_Sm4Al3Cu
_space_group_name_H-M_alt 'P 4/m m m'
_space_group_IT_number 123
_space_group_name_Hall '-P 4 2'
_cell_length_a 3.518
_cell_length_b 3.518
_cell_length_c 15.684
_cell_angle_alpha 90.00
_cell_angle_beta 90.00
_cell_angle_gamma 90.00
loop_
_atom_site_label
_atom_site_fract_x
_atom_site_fract_y
_atom_site_fract_z
_atom_site_occupancy
Sm1 0.000 0.000 0.116 1
Sm2 0.000 0.000 0.371 1
Al1 0.500 0.500 0.241 1
Al2 0.500 0.500 0.500 1
Cu1 0.500 0.500 0.000 1
# Volume = 194.1 Å³ per cell



# PBE-GGA Sm12AlCu6, relaxed
data_Sm12AlCu6
_space_group_name_H-M_alt 'I m -3'
_space_group_IT_number 204
_space_group_name_Hall '-I 2 2 3'
_cell_length_a 10.042
_cell_length_b 10.042
_cell_length_c 10.042
_cell_angle_alpha 90.00
_cell_angle_beta 90.00
_cell_angle_gamma 90.00
loop_
_atom_site_label
_atom_site_fract_x
_atom_site_fract_y
_atom_site_fract_z
_atom_site_occupancy
Sm1 0.000 0.187 0.296 1
Al1 0.000 0.000 0.000 1
Cu1 0.000 0.377 0.500 1
# Volume = 1012.7 Å³ per cell



# PBE-GGA SmAl3Cu, relaxed
data_SmAl3Cu
_space_group_name_H-M_alt 'I 4 m m'
_space_group_IT_number 107
_space_group_name_Hall 'I 4 -2'
_cell_length_a 4.201
_cell_length_b 4.201
_cell_length_c 10.651
_cell_angle_alpha 90.00
_cell_angle_beta 90.00
_cell_angle_gamma 90.00
loop_
_atom_site_label
_atom_site_fract_x
_atom_site_fract_y
_atom_site_fract_z
_atom_site_occupancy
Sm1 0.000 0.000 0.000 1
Al1 0.000 0.000 0.594 1
Al2 0.000 0.500 0.252 1
Cu1 0.000 0.000 0.371 1
# Volume = 188.0 Å³ per cell



# PBE-GGA Sm2Al3Cu2, relaxed
data_Sm2Al3Cu2
_space_group_name_H-M_alt 'C 1 2/m 1'
_space_group_IT_number 12
_space_group_name_Hall '-C 2y'
_cell_length_a 10.697
_cell_length_b 4.127
_cell_length_c 7.198
_cell_angle_alpha 90.00
_cell_angle_beta 119.99
_cell_angle_gamma 90.00
loop_
_atom_site_label
_atom_site_fract_x
_atom_site_fract_y
_atom_site_fract_z
_atom_site_occupancy
Sm1 0.133 0.000 0.273 1
Al1 0.000 0.500 0.500 1
Al2 0.145 0.500 0.935 1
Cu1 0.140 0.000 0.704 1
# Volume = 275.2 Å³ per cell



Computed energy of formation from the pure elements, in the same sequence as the records: -0.318 -0.123 -0.466 -0.397 eV per atom.